Computed, not measured: TlAg6Cl12 after structural relaxation at the PBE-GGA level of DFT.

## Properties
density: 4159 kg/m³
energy relative to the elements, uncorrected: -430 meV per atom
Fermi-level density of states: 10.51 states/eV/f.u.
E_tot: -2.621 eV/atom

Unit cell a=8.8822 b=8.8822 c=8.8822 alpha=110.86 beta=110.86 gamma=110.86
Positions (direct):
Tl 0.0000 0.0000 0.0000
Ag 0.2520 0.2591 0.7451
Ag 0.2549 0.7480 0.7409
Ag 0.2591 0.7451 0.2520
Ag 0.7409 0.2549 0.7480
Ag 0.7451 0.2520 0.2591
Ag 0.7480 0.7409 0.2549
Cl 0.0815 0.8966 0.3258
Cl 0.1034 0.6742 0.9185
Cl 0.1712 0.4121 0.5683
Cl 0.3258 0.0815 0.8966
Cl 0.4121 0.5683 0.1712
Cl 0.4317 0.8288 0.5879
Cl 0.5683 0.1712 0.4121
Cl 0.5879 0.4317 0.8288
Cl 0.6742 0.9185 0.1034
Cl 0.8288 0.5879 0.4317
Cl 0.8966 0.3258 0.0815
Cl 0.9185 0.1034 0.6742